# 1
! Bi2RuI PBE-GGA relaxed; values from VASP
! Relative energy among the computed polymorphs (eV per atom): 0.000
! Uncorrected formation energy (eV per atom): 0.378
! Total energy (eV/atom): -4.269
&SYSTEM
  ibrav = 0, nat = 8, ntyp = 3
/
ATOMIC_SPECIES
Bi 208.98 Bi.upf
Ru 101.07 Ru.upf
I 126.90 I.upf
CELL_PARAMETERS angstrom
-3.426 3.426 6.657
3.426 -3.426 6.657
3.426 3.426 -6.657
ATOMIC_POSITIONS crystal
Bi 0.015 0.625 0.890
Bi 0.375 0.265 0.390
Bi 0.735 0.125 0.110
Bi 0.875 0.985 0.610
Ru 0.000 0.000 0.000
Ru 0.750 0.250 0.500
I 0.250 0.750 0.500
I 0.500 0.500 0.000


# 2
! Cr2CoPb PBE-GGA relaxed; values from VASP
! Energy of formation (kcal/mol of atoms): 12.97
! Total energy (eV/atom): -6.953
&SYSTEM
  ibrav = 0, nat = 4, ntyp = 3
/
ATOMIC_SPECIES
Cr 52.00 Cr.upf
Co 58.93 Co.upf
Pb 207.20 Pb.upf
CELL_PARAMETERS angstrom
4.363 -1.543 0.000
4.363 1.543 0.000
-1.345 0.000 4.587
ATOMIC_POSITIONS crystal
Cr 0.000 0.000 0.000
Cr 0.724 0.724 0.160
Co 0.258 0.258 0.758
Pb 0.497 0.497 0.500